# CaMg2AlPd

A relaxed structure of CaMg2AlPd (PBE, Alexandria).

space group	P4/mmm (123)
ΔE_f	-299	meV/atom
total energy	-15.6	eV/f.u.
theoretical density	3.02	g cm⁻³

Cell: 5.0216 5.0216 4.8429 Å, 90.00 90.00 90.00°
Fractional coordinates of all 5 atoms:
Ca  0.0000  0.0000  0.0000
Mg  0.0000  0.5000  0.5000
Mg  0.5000  0.0000  0.5000
Al  0.5000  0.5000  0.0000
Pd  0.5000  0.5000  0.5000


# Nb2TlZn2

A relaxed structure of Nb2TlZn2 (PBE, Alexandria).

space group	P4/mbm (127)
ΔE_f	262	meV/atom
total energy	-23.7	eV/f.u.
theoretical density	9.79	g cm⁻³

Cell: 6.8525 6.8525 3.7627 Å, 90.00 90.00 90.00°
Fractional coordinates of all 10 atoms:
Nb  0.1742  0.3258  0.0000
Nb  0.3258  0.8258  0.0000
Nb  0.6742  0.1742  0.0000
Nb  0.8258  0.6742  0.0000
Tl  0.0000  0.0000  0.5000
Tl  0.5000  0.5000  0.5000
Zn  0.1225  0.6225  0.5000
Zn  0.3775  0.1225  0.5000
Zn  0.6225  0.8775  0.5000
Zn  0.8775  0.3775  0.5000